VASP calculation (PBE) on a relaxed TcSbCl2 crystal.

abc: 5.4169 5.4169 3.1335
angles: 90.00 90.00 109.82
Sites, in units of the cell vectors:
Tc 0.0000 0.0000 0.0000
Sb 0.5000 0.5000 0.0000
Cl 0.0000 0.5000 0.5000
Cl 0.5000 0.0000 0.5000

Values from the calculation:
Energy relative to the lowest polymorph listed for this composition: 331 kJ/mol of formula units
Size of the total moment: 3.5 μB per formula unit
DOS at the Fermi energy: 0.60 states/eV/atom
Space group: Cmmm (65)
Raw total energy: -3.91 eV/atom

***

VASP calculation (PBE) on a relaxed SmDy5Y8 crystal.

abc: 8.4565 8.4565 8.4565
angles: 111.30 111.30 105.88
Sites, in units of the cell vectors:
Sm 0.0000 0.0000 0.0000
Dy 0.2134 0.0349 0.6005
Dy 0.3872 0.7866 0.8216
Dy 0.4344 0.6128 0.3995
Dy 0.7500 0.2500 0.5000
Dy 0.9651 0.5656 0.1784
Y 0.0820 0.3226 0.4109
Y 0.1707 0.4201 0.8937
Y 0.3289 0.9180 0.2406
Y 0.5265 0.2770 0.1063
Y 0.5799 0.4735 0.7505
Y 0.6774 0.0883 0.7594
Y 0.7230 0.8293 0.2495
Y 0.9117 0.6711 0.5891

Values from the calculation:
E_form: 0.245 eV/atom
Size of the total moment: 0.0 μB per formula unit
DOS at the Fermi energy: 1.58 states/eV/atom
Space group: I-4 (82)
Raw total energy: -5.43 eV/atom